[1]
A relaxed UMnSi2Ru crystal. Source: Alexandria via LeMat-Bulk, functional PBE.

Values from the calculation:
As for the space-group type: I-4m2, No. 119. The formation energy without anion corrections is -0.53 eV/atom. For the total energy, the calculation gives -8.65 eV per atom. The calculation puts the total magnetization at 0.3 Bohr magnetons per cell.

abc: 4.0516 4.0516 5.6389
angles: 111.05 111.05 90.00
Closest atoms and distances in Å follow each position.
Fractional positions:
Mn  0.7500  0.2500  0.5000  4 Si 2.37
Si  0.3769  0.3769  0.7538  2 Mn 2.37, 2 Ru 2.37, 1 Si 2.39
Si  0.6231  0.6231  0.2462  2 Ru 2.37, 2 Mn 2.37, 1 Si 2.39
Ru  0.2500  0.7500  0.5000  4 Si 2.37
U  0.0000  0.0000  0.0000  8 Si 3.10, 4 Ru 3.16, 4 Mn 3.16

---

[2]
A relaxed U2MnSi6Ru crystal. Source: Alexandria via LeMat-Bulk, functional PBE.

Values from the calculation:
As for the space-group type: R-3m, No. 166. The formation energy without anion corrections is -0.28 eV/atom. For the total energy, the calculation gives -7.64 eV per atom. The calculation puts the total magnetization at 13.0 Bohr magnetons per cell.

abc: 5.8345 5.8345 11.9759
angles: 75.90 75.90 60.00
Closest atoms and distances in Å follow each position.
Fractional positions:
Si  0.3387  0.9372  0.3854  2 Si 2.34, 1 Ru 2.37, 1 Mn 2.41
Si  0.9372  0.3387  0.3854  2 Si 2.34, 1 Ru 2.37, 1 Mn 2.41
Si  0.3543  0.7715  0.1027  1 Mn 2.29, 2 Si 2.43, 1 Ru 2.45
Si  0.6613  0.6613  0.6146  2 Si 2.34, 1 Ru 2.37, 1 Mn 2.41
Si  0.0628  0.6613  0.6146  2 Si 2.34, 1 Ru 2.37, 1 Mn 2.41
Si  0.2285  0.2285  0.8973  1 Mn 2.29, 2 Si 2.43, 1 Ru 2.45
Si  0.3387  0.3387  0.3854  2 Si 2.34, 1 Ru 2.37, 1 Mn 2.41
Si  0.6613  0.0628  0.6146  2 Si 2.34, 1 Ru 2.37, 1 Mn 2.41
Si  0.7715  0.3543  0.1027  1 Mn 2.29, 2 Si 2.43, 1 Ru 2.45
Si  0.2285  0.6457  0.8973  1 Mn 2.29, 2 Si 2.43, 1 Ru 2.45
Si  0.6457  0.2285  0.8973  1 Mn 2.29, 2 Si 2.43, 1 Ru 2.45
Si  0.7715  0.7715  0.1027  1 Mn 2.29, 2 Si 2.43, 1 Ru 2.45
U  0.2889  0.2889  0.1334  12 Si 2.95-3.20
U  0.7111  0.7111  0.8666  12 Si 2.95-3.20
U  0.1239  0.1239  0.6283  9 Si 2.94-3.10
U  0.8761  0.8761  0.3717  9 Si 2.94-3.10
Mn  0.0000  0.0000  0.0000  6 Si 2.29
Mn  0.5000  0.5000  0.5000  6 Si 2.41, 2 Ru 2.56
Ru  0.5743  0.5743  0.2772  6 Si 2.37-2.45, 1 Mn 2.56
Ru  0.4257  0.4257  0.7228  6 Si 2.37-2.45, 1 Mn 2.56

---

[3]
A relaxed SmMnRu2 crystal. Source: Alexandria via LeMat-Bulk, functional PBE.

Values from the calculation:
As for the space-group type: P4/mmm, No. 123. For the total energy, the calculation gives -8.01 eV per atom. The calculation puts the energy of formation at 0.38 eV per formula unit. The calculation puts the total magnetization at 2.8 Bohr magnetons per cell.

abc: 3.1803 3.1803 6.7527
angles: 90.00 90.00 90.00
Closest atoms and distances in Å follow each position.
Fractional positions:
Ru  0.0000  0.0000  0.2013  4 Mn 2.63, 1 Ru 2.72
Ru  0.0000  0.0000  0.7987  4 Mn 2.63, 1 Ru 2.72
Sm  0.5000  0.5000  0.5000  8 Ru 3.02, 4 Sm 3.18, 2 Mn 3.38
Mn  0.5000  0.5000  0.0000  8 Ru 2.63

---

[4]
A relaxed Sm2MnRu crystal. Source: Alexandria via LeMat-Bulk, functional PBE.

Values from the calculation:
As for the space-group type: P4/mmm, No. 123. For the total energy, the calculation gives -6.95 eV per atom. The calculation puts the energy of formation at 0.09 eV per formula unit. The calculation puts the total magnetization at 3.4 Bohr magnetons per cell.

abc: 3.5066 3.5066 7.2853
angles: 90.00 90.00 90.00
Closest atoms and distances in Å follow each position.
Fractional positions:
Sm  0.0000  0.0000  0.7655  4 Ru 3.01, 4 Mn 3.14
Sm  0.0000  0.0000  0.2345  4 Ru 3.01, 4 Mn 3.14
Ru  0.5000  0.5000  0.0000  8 Sm 3.01
Mn  0.5000  0.5000  0.5000  8 Sm 3.14, 4 Mn 3.51

---

[5]
A relaxed Sm2MnRu3 crystal. Source: Alexandria via LeMat-Bulk, functional PBE.

Values from the calculation:
As for the space-group type: R-3m, No. 166. For the total energy, the calculation gives -7.93 eV per atom. The calculation puts the energy of formation at -1.13 eV per formula unit. The calculation puts the total magnetization at 2.7 Bohr magnetons per cell.

abc: 5.4417 5.4417 5.3222
angles: 90.01 120.82 119.92
Closest atoms and distances in Å follow each position.
Fractional positions:
Sm  0.7521  0.3760  0.1281  9 Ru 3.12-3.16, 3 Mn 3.19, 4 Sm 3.19-3.33
Sm  0.2479  0.6240  0.8719  9 Ru 3.12-3.16, 3 Mn 3.19, 4 Sm 3.19-3.33
Ru  0.5000  0.0000  0.5000  2 Mn 2.66, 4 Ru 2.72
Ru  0.0000  0.0000  0.5000  2 Mn 2.66, 4 Ru 2.72
Ru  0.5000  0.5000  0.5000  2 Mn 2.66, 4 Ru 2.72
Mn  0.0000  0.0000  0.0000  6 Ru 2.66

---

[6]
A relaxed SmTmMnRu crystal. Source: Alexandria via LeMat-Bulk, functional PBE.

Values from the calculation:
As for the space-group type: F-43m, No. 216. For the total energy, the calculation gives -6.95 eV per atom. The calculation puts the energy of formation at -0.17 eV per formula unit. The calculation puts the total magnetization at 3.5 Bohr magnetons per cell.

abc: 4.9215 4.9215 4.9215
angles: 60.00 60.00 60.00
Closest atoms and distances in Å follow each position.
Fractional positions:
Tm  0.5000  0.5000  0.5000  4 Ru 3.01, 4 Mn 3.01
Sm  0.0000  0.0000  0.0000  4 Mn 3.01, 4 Ru 3.01
Ru  0.2500  0.2500  0.2500  4 Sm 3.01, 4 Tm 3.01
Mn  0.7500  0.7500  0.7500  4 Tm 3.01, 4 Sm 3.01

---

no.,N(E_F) (states/eV per atom)
1,1.16
2,1.23
3,0.99
4,0.76
5,1.02
6,0.63